Entry 1:
A plane-wave DFT calculation with PBE was carried out for Dy5Ru3 after structural relaxation.

E_tot: -6.7026 eV/atom
Magnetic moment: 0.0 Bohr magnetons per cell
Crystal system: tetragonal
ΔE_f: -0.3478 eV per atom

Cell: 3.404 3.404 16.305 Å, 90.00 90.00 90.00°
Fractional coordinates of all 8 atoms:
Dy 0.500 0.500 0.601
Dy 0.500 0.500 0.399
Ru 0.500 0.500 0.110
Dy 0.000 0.000 0.000
Ru 0.000 0.000 0.500
Ru 0.500 0.500 0.890
Dy 0.000 0.000 0.794
Dy 0.000 0.000 0.206



Entry 2:
A plane-wave DFT calculation with PBE was carried out for HfPaTcOs after structural relaxation.

E_tot: -10.6230 eV/atom
Magnetic moment: 0.0 Bohr magnetons per cell
Crystal system: cubic
ΔE_f: -0.3618 eV per atom

Cell: 4.750 4.750 4.750 Å, 60.00 60.00 60.00°
Fractional coordinates of all 4 atoms:
Hf 0.000 0.000 0.000
Tc 0.750 0.750 0.750
Os 0.250 0.250 0.250
Pa 0.500 0.500 0.500



Entry 3:
A plane-wave DFT calculation with PBE was carried out for MgUSbO6 after structural relaxation.

E_tot: -7.6156 eV/atom
Magnetic moment: 2.0 Bohr magnetons per cell
Crystal system: trigonal

Cell: 5.241 5.241 9.518 Å, 90.00 90.00 120.00°
Fractional coordinates of all 18 atoms:
O 0.347 0.333 0.367
Mg 0.667 0.333 0.750
O 0.667 0.653 0.133
O 0.653 0.986 0.867
Mg 0.333 0.667 0.250
U 0.000 0.000 0.000
O 0.333 0.986 0.633
O 0.986 0.653 0.367
Sb 0.333 0.667 0.750
O 0.347 0.014 0.133
O 0.667 0.014 0.367
O 0.014 0.667 0.867
O 0.014 0.347 0.633
O 0.653 0.667 0.633
U 0.000 0.000 0.500
O 0.333 0.347 0.867
Sb 0.667 0.333 0.250
O 0.986 0.333 0.133



Entry 4:
A plane-wave DFT calculation with PBE was carried out for Sm8Ni3CBr4 after structural relaxation.

E_tot: -5.2238 eV/atom
Magnetic moment: 0.0 Bohr magnetons per cell
Crystal system: trigonal

Cell: 7.967 8.830 7.967 Å, 116.84 120.00 90.00°
Fractional coordinates of all 16 atoms:
Sm 0.221 0.687 0.966
Sm 0.269 0.308 0.539
Br 0.500 0.000 0.000
Sm 0.221 0.687 0.442
Br 0.000 0.000 0.000
Sm 0.745 0.687 0.966
Ni 0.500 0.500 0.500
Br 0.000 0.000 0.500
Ni 0.500 0.500 0.000
Sm 0.255 0.313 0.034
Ni 0.000 0.500 0.500
Sm 0.779 0.313 0.558
Br 0.500 0.000 0.500
Sm 0.779 0.313 0.034
C 0.000 0.500 0.000
Sm 0.731 0.692 0.461



Entry 5:
A plane-wave DFT calculation with PBE was carried out for Er2InTe after structural relaxation.

E_tot: -4.5420 eV/atom
Offset from the most stable computed form: 78.7 meV per atom
Magnetic moment: 0.0 Bohr magnetons per cell
Crystal system: trigonal

Cell: 4.107 4.107 8.244 Å, 75.58 75.58 60.00°
Fractional coordinates of all 4 atoms:
Er 0.749 0.749 0.753
In 0.500 0.500 0.500
Te 0.000 0.000 0.000
Er 0.251 0.251 0.247



Entry 6:
A plane-wave DFT calculation with PBE was carried out for ErLuSn2 after structural relaxation.

E_tot: -4.8410 eV/atom
Magnetic moment: 0.0 Bohr magnetons per cell
Crystal system: tetragonal
ΔE_f: -0.5686 eV per atom

Cell: 3.445 3.445 8.658 Å, 90.00 90.00 90.00°
Fractional coordinates of all 4 atoms:
Sn 0.000 0.000 0.252
Sn 0.000 0.000 0.748
Lu 0.500 0.500 0.500
Er 0.500 0.500 0.000